(one)
The following is a PBE calculation of a relaxed structure of MnPOs3, from Alexandria via LeMat-Bulk.

Values from the calculation:
Mass density ... 13.3 g/cm³

abc: 4.344 4.344 4.344
angles: 90.00 90.00 90.00
Space group Pm-3m (No. 221)
Symmetry-distinct sites (fractional):
Mn  0.000  0.000  0.000
P  0.500  0.500  0.500
Os  0.000  0.500  0.500

=====

(two)
The following is a PBE calculation of a relaxed structure of MnPOs3, from Alexandria via LeMat-Bulk.

Values from the calculation:
Mass density ... 12.7 g/cm³

abc: 4.415 4.415 4.415
angles: 90.00 90.00 90.00
Space group Pm-3m (No. 221)
Symmetry-distinct sites (fractional):
Mn  0.000  0.000  0.000
P  0.500  0.500  0.500
Os  0.000  0.000  0.500

=====

If you had to name the least stable structure above, which would it be? It would be (two).